CaZnCd3: relaxed, PBE.

```
data_CaZnCd3
_cell_length_a 6.239
_cell_length_b 6.239
_cell_length_c 6.239
_cell_angle_alpha 90.00
_cell_angle_beta 90.00
_cell_angle_gamma 90.00
_symmetry_space_group_name_H-M 'P m -3 m'
_symmetry_Int_Tables_number 221
_symmetry_space_group_name_Hall '-P 4 2 3'
loop_
_atom_site_label
_atom_site_type_symbol
_atom_site_fract_x
_atom_site_fract_y
_atom_site_fract_z
_atom_site_occupancy
Ca1 Ca 0.000 0.000 0.000 1
Zn1 Zn 0.500 0.500 0.500 1
Cd1 Cd 0.000 0.000 0.500 1
```

Summary:
- energy above the most stable polymorph in this dataset (eV per formula unit) = 3.868
- VASP energy (eV per atom) = -0.61

---

LiSb2PdI: relaxed, PBE.

```
data_LiSb2PdI
_cell_length_a 4.967
_cell_length_b 4.967
_cell_length_c 8.922
_cell_angle_alpha 90.00
_cell_angle_beta 90.00
_cell_angle_gamma 90.00
_symmetry_space_group_name_H-M 'P 4/m m m'
_symmetry_Int_Tables_number 123
_symmetry_space_group_name_Hall '-P 4 2'
loop_
_atom_site_label
_atom_site_type_symbol
_atom_site_fract_x
_atom_site_fract_y
_atom_site_fract_z
_atom_site_occupancy
Li1 Li 0.000 0.000 0.000 1
Sb1 Sb 0.000 0.500 0.500 1
Pd1 Pd 0.500 0.500 0.500 1
I1 I 0.500 0.500 0.000 1
```

Summary:
- energy above the most stable polymorph in this dataset (eV per formula unit) = 0.000
- VASP energy (eV per atom) = -3.32
- uncorrected formation energy (eV/atom) = 0.0636

---

CuIr2Pt: relaxed, PBE.

```
data_CuIr2Pt
_cell_length_a 3.859
_cell_length_b 3.859
_cell_length_c 7.656
_cell_angle_alpha 90.00
_cell_angle_beta 90.00
_cell_angle_gamma 90.00
_symmetry_space_group_name_H-M 'I 4/m m m'
_symmetry_Int_Tables_number 139
_symmetry_space_group_name_Hall '-I 4 2'
loop_
_atom_site_label
_atom_site_type_symbol
_atom_site_fract_x
_atom_site_fract_y
_atom_site_fract_z
_atom_site_occupancy
Cu1 Cu 0.000 0.000 0.000 1
Ir1 Ir 0.000 0.500 0.250 1
Pt1 Pt 0.000 0.000 0.500 1
```

Summary:
- energy above the most stable polymorph in this dataset (eV per formula unit) = 0.346
- VASP energy (eV per atom) = -6.87

---

Summary of total magnetic moment in Bohr magnetons per cell
0.0; 0.0; 0.0
(order as listed above)
Summary of D(E_F) in states/eV/f.u.
5.4; 1.7; 3.0
(order as listed above)